(1)
Computed, not measured: Cu2NiPd8 after structural relaxation at the PBE level of DFT.

Unit cell a=6.7040 b=6.7040 c=4.6711 alpha=103.24 beta=103.24 gamma=59.70
Atoms (fractional coordinates):
Cu: 0.1156 0.1156 0.0012
Cu: 0.8844 0.8844 0.9988
Ni: 0.0000 0.0000 0.5000
Pd: 0.2208 0.2208 0.5697
Pd: 0.2337 0.6325 0.7116
Pd: 0.3492 0.3492 0.1574
Pd: 0.3675 0.7663 0.2884
Pd: 0.6325 0.2337 0.7116
Pd: 0.6508 0.6508 0.8426
Pd: 0.7663 0.3675 0.2884
Pd: 0.7792 0.7792 0.4303

## Properties
Magnetization = 0.199 μB per atom
Calculated density = 9.9 Mg/m³
Space group = C2/m, No. 12


(2)
Computed, not measured: Cu2NiPd8 after structural relaxation at the PBE level of DFT.

Unit cell a=7.1995 b=7.1995 c=6.1565 alpha=105.57 beta=105.57 gamma=31.42
Atoms (fractional coordinates):
Cu: 0.2271 0.2271 0.1354
Cu: 0.7729 0.7729 0.8646
Ni: 0.5000 0.5000 0.5000
Pd: 0.0462 0.0462 0.2320
Pd: 0.1385 0.1385 0.6887
Pd: 0.3190 0.3190 0.5869
Pd: 0.4056 0.4056 0.0473
Pd: 0.5944 0.5944 0.9527
Pd: 0.6810 0.6810 0.4131
Pd: 0.8615 0.8615 0.3113
Pd: 0.9538 0.9538 0.7680

## Properties
Magnetization = 0.233 μB per atom
Calculated density = 10.8 Mg/m³
Space group = C2/m, No. 12


Preferred: (2); penalty for the next structure: 258 meV per atom.


(1)
Computed, not measured: Cu2Ni3Pd8 after structural relaxation at the PBE level of DFT.

Unit cell a=7.4553 b=3.9562 c=7.4610 alpha=90.00 beta=114.14 gamma=90.00
Atoms (fractional coordinates):
Cu: 0.2440 0.0000 0.2570
Cu: 0.7560 0.0000 0.7430
Ni: 0.2673 0.5000 0.7677
Ni: 0.5000 0.0000 0.0000
Ni: 0.7327 0.5000 0.2323
Pd: 0.1118 0.5000 0.3885
Pd: 0.1207 0.0000 0.8774
Pd: 0.3633 0.5000 0.1370
Pd: 0.3765 0.0000 0.6211
Pd: 0.6235 0.0000 0.3789
Pd: 0.6367 0.5000 0.8630
Pd: 0.8793 0.0000 0.1226
Pd: 0.8882 0.5000 0.6115

## Properties
Magnetization = 0.372 μB per atom
Calculated density = 9.5 Mg/m³
Space group = P2/m, No. 10


(2)
Computed, not measured: Cu2Ni3Pd8 after structural relaxation at the PBE level of DFT.

Unit cell a=7.3557 b=7.3557 c=4.3929 alpha=90.00 beta=90.00 gamma=124.84
Atoms (fractional coordinates):
Cu: 0.2198 0.7802 0.0000
Cu: 0.7802 0.2198 0.0000
Ni: 0.0000 0.0000 0.0000
Ni: 0.3188 0.3188 0.5000
Ni: 0.6812 0.6812 0.5000
Pd: 0.1104 0.8896 0.5000
Pd: 0.1931 0.4096 0.0000
Pd: 0.3232 0.6768 0.5000
Pd: 0.4096 0.1931 0.0000
Pd: 0.5904 0.8069 0.0000
Pd: 0.6768 0.3232 0.5000
Pd: 0.8069 0.5904 0.0000
Pd: 0.8896 0.1104 0.5000

## Properties
Magnetization = 0.366 μB per atom
Calculated density = 9.8 Mg/m³
Space group = Cmmm, No. 65


Preferred: (2); penalty for the next structure: 34 meV per atom.


(1)
Computed, not measured: Cu3NiPd2 after structural relaxation at the PBE level of DFT.

Unit cell a=4.5053 b=4.5943 c=7.8549 alpha=91.41 beta=103.62 gamma=97.84
Atoms (fractional coordinates):
Cu: 0.2471 0.1172 0.4603
Cu: 0.2496 0.6329 0.2893
Cu: 0.2520 0.6175 0.9603
Cu: 0.7480 0.3825 0.0397
Cu: 0.7504 0.3671 0.7107
Cu: 0.7529 0.8828 0.5397
Ni: 0.2505 0.1282 0.7892
Ni: 0.7495 0.8718 0.2108
Pd: 0.2486 0.1225 0.1243
Pd: 0.2514 0.6234 0.6266
Pd: 0.7486 0.3766 0.3734
Pd: 0.7514 0.8775 0.8757

## Properties
Magnetization = 0.072 μB per atom
Calculated density = 9.8 Mg/m³
Space group = P-1, No. 2


(2)
Computed, not measured: Cu3NiPd2 after structural relaxation at the PBE level of DFT.

Unit cell a=2.9268 b=2.9268 c=9.0778 alpha=90.00 beta=90.00 gamma=90.00
Atoms (fractional coordinates):
Cu: 0.0000 0.0000 0.0000
Cu: 0.0000 0.0000 0.3526
Cu: 0.0000 0.0000 0.6474
Ni: 0.5000 0.5000 0.5000
Pd: 0.5000 0.5000 0.1769
Pd: 0.5000 0.5000 0.8231

## Properties
Magnetization = 0.064 μB per atom
Calculated density = 9.9 Mg/m³
Space group = P4/mmm, No. 123


Preferred: (2); penalty for the next structure: 7 meV per atom.


(1)
Computed, not measured: Cu5NiPd2 after structural relaxation at the PBE level of DFT.

Unit cell a=5.2565 b=10.5105 c=3.6860 alpha=90.00 beta=90.00 gamma=90.00
Atoms (fractional coordinates):
Cu: 0.0000 0.0000 0.0000
Cu: 0.0014 0.2516 0.0000
Cu: 0.2481 0.6238 0.5000
Cu: 0.2519 0.1238 0.5000
Cu: 0.4986 0.7516 0.0000
Cu: 0.5000 0.5000 0.0000
Cu: 0.5014 0.2484 0.0000
Cu: 0.7481 0.8762 0.5000
Cu: 0.7519 0.3762 0.5000
Cu: 0.9986 0.7484 0.0000
Ni: 0.0000 0.5000 0.0000
Ni: 0.5000 0.0000 0.0000
Pd: 0.2493 0.8752 0.5000
Pd: 0.2507 0.3752 0.5000
Pd: 0.7493 0.6248 0.5000
Pd: 0.7507 0.1248 0.5000

## Properties
Magnetization = 0.040 μB per atom
Calculated density = 9.6 Mg/m³
Space group = Pbam, No. 55


(2)
Computed, not measured: Cu5NiPd2 after structural relaxation at the PBE level of DFT.

Unit cell a=2.5855 b=8.1866 c=9.8768 alpha=90.00 beta=90.00 gamma=90.00
Atoms (fractional coordinates):
Cu: 0.0000 0.0000 0.0000
Cu: 0.0000 0.2686 0.3776
Cu: 0.0000 0.2686 0.6224
Cu: 0.0000 0.7314 0.3776
Cu: 0.0000 0.7314 0.6224
Cu: 0.5000 0.2314 0.1224
Cu: 0.5000 0.2314 0.8776
Cu: 0.5000 0.5000 0.5000
Cu: 0.5000 0.7686 0.1224
Cu: 0.5000 0.7686 0.8776
Ni: 0.0000 0.5000 0.0000
Ni: 0.5000 0.0000 0.5000
Pd: 0.0000 0.0000 0.2604
Pd: 0.0000 0.0000 0.7396
Pd: 0.5000 0.5000 0.2396
Pd: 0.5000 0.5000 0.7604

## Properties
Magnetization = 0.000 μB per atom
Calculated density = 9.4 Mg/m³
Space group = Immm, No. 71


Preferred: (1); penalty for the next structure: 119 meV per atom.


(1)
Computed, not measured: Cu3NiPd4 after structural relaxation at the PBE level of DFT.

Unit cell a=8.4918 b=6.0591 c=4.2453 alpha=90.00 beta=90.00 gamma=90.00
Atoms (fractional coordinates):
Cu: 0.0000 0.0000 0.0000
Cu: 0.2500 0.0000 0.4977
Cu: 0.2500 0.5000 0.4977
Cu: 0.5000 0.0000 0.0000
Cu: 0.7500 0.0000 0.5023
Cu: 0.7500 0.5000 0.5023
Ni: 0.0000 0.5000 0.0000
Ni: 0.5000 0.5000 0.0000
Pd: 0.0000 0.2519 0.5000
Pd: 0.0000 0.7481 0.5000
Pd: 0.2500 0.2518 0.9980
Pd: 0.2500 0.7482 0.9980
Pd: 0.5000 0.2519 0.5000
Pd: 0.5000 0.7481 0.5000
Pd: 0.7500 0.2518 0.0020
Pd: 0.7500 0.7482 0.0020

## Properties
Magnetization = 0.190 μB per atom
Calculated density = 10.3 Mg/m³
Space group = Pmma, No. 51


(2)
Computed, not measured: Cu3NiPd4 after structural relaxation at the PBE level of DFT.

Unit cell a=2.7531 b=3.8554 c=21.7335 alpha=90.00 beta=90.00 gamma=90.00
Atoms (fractional coordinates):
Cu: 0.0000 0.0000 0.0000
Cu: 0.0000 0.5000 0.2796
Cu: 0.0000 0.5000 0.7204
Cu: 0.5000 0.0000 0.2204
Cu: 0.5000 0.0000 0.7796
Cu: 0.5000 0.5000 0.5000
Ni: 0.0000 0.0000 0.5000
Ni: 0.5000 0.5000 0.0000
Pd: 0.0000 0.5000 0.1618
Pd: 0.0000 0.5000 0.4034
Pd: 0.0000 0.5000 0.5966
Pd: 0.0000 0.5000 0.8382
Pd: 0.5000 0.0000 0.0966
Pd: 0.5000 0.0000 0.3382
Pd: 0.5000 0.0000 0.6618
Pd: 0.5000 0.0000 0.9034

## Properties
Magnetization = 0.125 μB per atom
Calculated density = 9.7 Mg/m³
Space group = Immm, No. 71


Preferred: (1); penalty for the next structure: 192 meV per atom.